Entry 1:
{
  "formula": "VGa2BI",
  "functional": "PBE",
  "state": "optimized geometry",
  "magmom_total_mub_per_fu": 0.00,
  "space_group": "P4/mmm (123)",
  "total_energy_ev_per_atom": -3.3911,
  "formation_energy_uncorrected_ev_per_atom": 1.29,
  "lattice": [[4.9282, 0.0000, 0.0000], [0.0000, 4.9282, 0.0000], [0.0000, 0.0000, 5.0472]],
  "species": ["V", "Ga", "Ga", "B", "I"],
  "fractional_positions": [[0.0000, 0.0000, 0.0000], [0.0000, 0.5000, 0.0000], [0.5000, 0.0000, 0.0000], [0.5000, 0.5000, 0.5000], [0.0000, 0.0000, 0.5000]]
}

=====

Entry 2:
{
  "formula": "NaTlTcF6",
  "functional": "PBE",
  "state": "optimized geometry",
  "magmom_total_mub_per_fu": 3.00,
  "space_group": "P-31c (163)",
  "total_energy_ev_per_atom": -5.1069,
  "formation_energy_uncorrected_ev_per_atom": -2.30,
  "lattice": [[5.8824, 0.0000, 0.0000], [-2.9412, 5.0943, 0.0000], [0.0000, 0.0000, 11.3571]],
  "species": ["Na", "Na", "Tl", "Tl", "Tc", "Tc", "F", "F", "F", "F", "F", "F", "F", "F", "F", "F", "F", "F"],
  "fractional_positions": [[0.3333, 0.6667, 0.2500], [0.6667, 0.3333, 0.7500], [0.0000, 0.0000, 0.0000], [0.0000, 0.0000, 0.5000], [0.3333, 0.6667, 0.7500], [0.6667, 0.3333, 0.2500], [0.0481, 0.3967, 0.6527], [0.0481, 0.6514, 0.8473], [0.3486, 0.3967, 0.8473], [0.3486, 0.9519, 0.6527], [0.3967, 0.0481, 0.1527], [0.3967, 0.3486, 0.3473], [0.6033, 0.6514, 0.6527], [0.6033, 0.9519, 0.8473], [0.6514, 0.0481, 0.3473], [0.6514, 0.6033, 0.1527], [0.9519, 0.3486, 0.1527], [0.9519, 0.6033, 0.3473]]
}